1.
# La2SiTcC PBE relaxed
data_La2SiTcC
_symmetry_space_group_name_H-M 'P 1'
_symmetry_Int_Tables_number 1
_symmetry_space_group_name_Hall 'P 1'
_cell_length_a 6.462
_cell_length_b 4.267
_cell_length_c 8.898
_cell_angle_alpha 90.00
_cell_angle_beta 109.35
_cell_angle_gamma 90.00
loop_
_atom_site_label
_atom_site_fract_x
_atom_site_fract_y
_atom_site_fract_z
La1 0.213 0.250 0.388
La2 0.231 0.250 0.973
La3 0.769 0.750 0.027
La4 0.787 0.750 0.612
Si1 0.318 0.750 0.701
Si2 0.682 0.250 0.299
Tc1 0.497 0.750 0.258
Tc2 0.503 0.250 0.742
C1 0.194 0.750 0.172
C2 0.806 0.250 0.828
# - M_tot: 0.00 μB/cell
# - DFT total energy: -7.290 eV per atom
# - E_form (uncorrected): -316 meV per atom
# - Theoretical density: 6.0 Mg/m³

***

2.
# LaU2SiC4 PBE relaxed
data_LaU2SiC4
_symmetry_space_group_name_H-M 'P 1'
_symmetry_Int_Tables_number 1
_symmetry_space_group_name_Hall 'P 1'
_cell_length_a 6.099
_cell_length_b 6.099
_cell_length_c 11.584
_cell_angle_alpha 90.00
_cell_angle_beta 90.00
_cell_angle_gamma 145.89
loop_
_atom_site_label
_atom_site_fract_x
_atom_site_fract_y
_atom_site_fract_z
La1 0.102 0.898 0.750
La2 0.898 0.102 0.250
U1 0.372 0.628 0.550
U2 0.372 0.628 0.950
U3 0.628 0.372 0.050
U4 0.628 0.372 0.450
Si1 0.165 0.835 0.250
Si2 0.835 0.165 0.750
C1 0.000 0.000 0.000
C2 0.000 0.000 0.500
C3 0.258 0.742 0.117
C4 0.258 0.742 0.383
C5 0.419 0.581 0.750
C6 0.581 0.419 0.250
C7 0.742 0.258 0.617
C8 0.742 0.258 0.883
# - M_tot: 4.55 μB/cell
# - DFT total energy: -8.880 eV per atom
# - E_form (uncorrected): -152 meV per atom
# - Theoretical density: 9.5 Mg/m³

***

3.
# La2VSiC PBE relaxed
data_La2VSiC
_symmetry_space_group_name_H-M 'P 1'
_symmetry_Int_Tables_number 1
_symmetry_space_group_name_Hall 'P 1'
_cell_length_a 5.340
_cell_length_b 5.340
_cell_length_c 3.783
_cell_angle_alpha 90.00
_cell_angle_beta 90.00
_cell_angle_gamma 90.00
loop_
_atom_site_label
_atom_site_fract_x
_atom_site_fract_y
_atom_site_fract_z
La1 0.000 0.500 0.000
La2 0.500 0.000 0.000
V1 0.000 0.000 0.500
Si1 0.500 0.500 0.500
C1 0.500 0.500 0.000
# - M_tot: 3.62 μB/cell
# - DFT total energy: -6.511 eV per atom
# - E above lowest polymorph: 0.000 eV per atom
# - E_form (uncorrected): 213 meV per atom
# - Theoretical density: 5.7 Mg/m³

***

4.
# La2YSiC PBE relaxed
data_La2YSiC
_symmetry_space_group_name_H-M 'P 1'
_symmetry_Int_Tables_number 1
_symmetry_space_group_name_Hall 'P 1'
_cell_length_a 5.124
_cell_length_b 5.124
_cell_length_c 4.855
_cell_angle_alpha 90.00
_cell_angle_beta 90.00
_cell_angle_gamma 90.00
loop_
_atom_site_label
_atom_site_fract_x
_atom_site_fract_y
_atom_site_fract_z
La1 0.000 0.500 0.000
La2 0.500 0.000 0.000
Y1 0.000 0.000 0.500
Si1 0.500 0.500 0.500
C1 0.000 0.000 0.000
# - M_tot: 0.00 μB/cell
# - DFT total energy: -6.501 eV per atom
# - E_form (uncorrected): -308 meV per atom
# - Theoretical density: 5.3 Mg/m³

***

5.
# LaY2SiC PBE relaxed
data_LaY2SiC
_symmetry_space_group_name_H-M 'P 1'
_symmetry_Int_Tables_number 1
_symmetry_space_group_name_Hall 'P 1'
_cell_length_a 4.848
_cell_length_b 4.848
_cell_length_c 5.096
_cell_angle_alpha 90.00
_cell_angle_beta 90.00
_cell_angle_gamma 90.00
loop_
_atom_site_label
_atom_site_fract_x
_atom_site_fract_y
_atom_site_fract_z
La1 0.000 0.000 0.000
Y1 0.000 0.500 0.500
Y2 0.500 0.000 0.500
Si1 0.500 0.500 0.000
C1 0.000 0.000 0.500
# - M_tot: 0.00 μB/cell
# - DFT total energy: -6.870 eV per atom
# - E_form (uncorrected): -369 meV per atom
# - Theoretical density: 4.9 Mg/m³

***

6.
# LaSm8C4 PBE relaxed
data_LaSm8C4
_symmetry_space_group_name_H-M 'P 1'
_symmetry_Int_Tables_number 1
_symmetry_space_group_name_Hall 'P 1'
_cell_length_a 9.457
_cell_length_b 9.457
_cell_length_c 12.755
_cell_angle_alpha 131.02
_cell_angle_beta 131.02
_cell_angle_gamma 22.47
loop_
_atom_site_label
_atom_site_fract_x
_atom_site_fract_y
_atom_site_fract_z
La1 0.000 0.000 0.000
Sm1 0.041 0.041 0.734
Sm2 0.293 0.293 0.937
Sm3 0.335 0.335 0.653
Sm4 0.361 0.361 0.404
Sm5 0.638 0.638 0.599
Sm6 0.664 0.664 0.349
Sm7 0.706 0.706 0.066
Sm8 0.958 0.958 0.269
C1 0.150 0.150 0.471
C2 0.332 0.332 0.173
C3 0.668 0.668 0.830
C4 0.849 0.849 0.531
# - M_tot: 0.34 μB/cell
# - DFT total energy: -6.183 eV per atom
# - E_form: -61.7 meV/atom
# - Theoretical density: 7.1 Mg/m³

***

7.
# LaSmC PBE relaxed
data_LaSmC
_symmetry_space_group_name_H-M 'P 1'
_symmetry_Int_Tables_number 1
_symmetry_space_group_name_Hall 'P 1'
_cell_length_a 13.496
_cell_length_b 3.519
_cell_length_c 7.490
_cell_angle_alpha 90.00
_cell_angle_beta 118.48
_cell_angle_gamma 90.00
loop_
_atom_site_label
_atom_site_fract_x
_atom_site_fract_y
_atom_site_fract_z
La1 0.101 0.000 0.212
La2 0.399 0.500 0.788
La3 0.601 0.500 0.212
La4 0.899 0.000 0.788
Sm1 0.157 0.000 0.787
Sm2 0.343 0.500 0.213
Sm3 0.657 0.500 0.787
Sm4 0.843 0.000 0.213
C1 0.132 0.500 0.999
C2 0.368 0.000 0.001
C3 0.632 0.000 0.999
C4 0.868 0.500 0.001
# - M_tot: 0.00 μB/cell
# - DFT total energy: -6.271 eV per atom
# - E above lowest polymorph: 0.156 eV per atom
# - E_form: 19.1 meV/atom
# - Theoretical density: 6.4 Mg/m³

***

8.
# LaSmC PBE relaxed
data_LaSmC
_symmetry_space_group_name_H-M 'P 1'
_symmetry_Int_Tables_number 1
_symmetry_space_group_name_Hall 'P 1'
_cell_length_a 14.681
_cell_length_b 3.681
_cell_length_c 6.393
_cell_angle_alpha 90.00
_cell_angle_beta 113.61
_cell_angle_gamma 90.00
loop_
_atom_site_label
_atom_site_fract_x
_atom_site_fract_y
_atom_site_fract_z
La1 0.141 0.000 0.317
La2 0.359 0.500 0.683
La3 0.641 0.500 0.317
La4 0.859 0.000 0.683
Sm1 0.148 0.500 0.822
Sm2 0.352 0.000 0.178
Sm3 0.648 0.000 0.822
Sm4 0.852 0.500 0.178
C1 0.250 0.000 0.755
C2 0.250 0.500 0.245
C3 0.750 0.000 0.245
C4 0.750 0.500 0.755
# - M_tot: 0.00 μB/cell
# - DFT total energy: -6.427 eV per atom
# - E above lowest polymorph: 0.000 eV per atom
# - E_form: -136.7 meV/atom
# - Theoretical density: 6.3 Mg/m³